Ta2SiP | GGA-PBE | relaxed

abc: 2.9697 3.5915 6.0447
angles: 90.00 101.86 90.00
Last column: nearest neighbours and their distance in Å.
Element x y z (fractional)
Ta: 0.2030 0.0000 0.2557  2 P 2.48, 2 Si 2.64
Ta: 0.7970 0.0000 0.7443  2 P 2.48, 2 Si 2.64
Si: 0.5000 0.5000 0.0000  8 Ta 2.64-2.94
P: 0.0000 0.5000 0.5000  4 Ta 2.48

Results
raw formation energy = -0.24 eV/atom
size of the total moment = 0.00 μB per cell
DOS at the Fermi energy = 2.1 states/eV/cell
space group = P2/m (10)